one) MgWCl: optimized geometry, PBE.

Unit cell a=3.015 b=3.015 c=8.404 alpha=90.00 beta=90.00 gamma=120.00
Element x y z (fractional)
Cl 0.000 0.000 0.900
Mg 0.667 0.333 0.409
W 0.333 0.667 0.692

Results
Spin magnetization: 0.0 μB per cell
DOS(E_F): 1.2 states/eV/cell
Symmetry: P3m1

***

two) MgWCl: optimized geometry, PBE.

Unit cell a=4.824 b=4.824 c=4.824 alpha=60.00 beta=60.00 gamma=60.00
Last column: magnetic moment on the atom in μB.
Element x y z (fractional)
Cl 0.000 0.000 0.000  0.15
Mg 0.500 0.500 0.500  0.03
W 0.750 0.750 0.750  3.22

Results
Spin magnetization: 5.0 μB per cell
DOS(E_F): 0.3 states/eV/cell
Symmetry: F-43m

***

So which one wins? Going from most stable to least: one), two).